# Sb2Te3 | the Alexandria database | GGA-PBE | optimized geometry
data_Sb2Te3
_symmetry_space_group_name_H-M 'R -3 c'
_symmetry_Int_Tables_number 167
_symmetry_space_group_name_Hall '-R 3 2"c'
_cell_length_a 7.7758
_cell_length_b 7.7758
_cell_length_c 21.1303
_cell_angle_alpha 90.00
_cell_angle_beta 90.00
_cell_angle_gamma 120.00
loop_
_atom_site_label
_atom_site_fract_x
_atom_site_fract_y
_atom_site_fract_z
Sb1 0.0000 0.0000 0.1584
Te1 0.0000 0.3028 0.2500
# density of states at the Fermi level	0.28	states/eV/f.u.
# E_tot	-3.562	eV per atom
# total moment	0.00	μB/cell
# crystal system	trigonal